[1]
Entry from the Alexandria database: crystalline TbBeAl3Cu at its relaxed geometry (GGA-PBE).

a = 6.7789 Å, b = 6.7789 Å, c = 5.5043 Å
α = 90.00°, β = 90.00°, γ = 123.46°
Fractional positions:
Tb 0.2155 0.7845 0.7500
Tb 0.7845 0.2155 0.2500
Be 0.1424 0.8576 0.2500
Be 0.8576 0.1424 0.7500
Al 0.1995 0.1995 0.0000
Al 0.1995 0.1995 0.5000
Al 0.3492 0.6508 0.2500
Al 0.6508 0.3492 0.7500
Al 0.8005 0.8005 0.0000
Al 0.8005 0.8005 0.5000
Cu 0.4407 0.5593 0.7500
Cu 0.5593 0.4407 0.2500

Calculated values
For the final energy, the calculation gives -3.99 eV per atom. The value obtained for the magnetization is 0.0 μB per formula unit.

=====

[2]
Entry from the Alexandria database: crystalline Tm6Cd5Cu at its relaxed geometry (GGA-PBE).

a = 8.1737 Å, b = 8.1737 Å, c = 7.3423 Å
α = 90.00°, β = 90.00°, γ = 143.23°
Fractional positions:
Tm 0.0000 0.0000 0.2362
Tm 0.0000 0.0000 0.7638
Tm 0.3400 0.6600 0.2436
Tm 0.3400 0.6600 0.7564
Tm 0.6600 0.3400 0.2436
Tm 0.6600 0.3400 0.7564
Cd 0.1695 0.8305 0.5000
Cd 0.1717 0.8283 0.0000
Cd 0.5000 0.5000 0.5000
Cd 0.8283 0.1717 0.0000
Cd 0.8305 0.1695 0.5000
Cu 0.5000 0.5000 0.0000

Calculated values
For the final energy, the calculation gives -3.25 eV per atom. The value obtained for the magnetization is 0.0 μB per formula unit.

=====

[3]
Entry from the Alexandria database: crystalline Zr4Si2Au5 at its relaxed geometry (GGA-PBE).

a = 6.9287 Å, b = 3.6641 Å, c = 8.3480 Å
α = 90.00°, β = 93.82°, γ = 90.00°
Fractional positions:
Zr 0.1958 0.0000 0.3554
Zr 0.2322 0.0000 0.9284
Zr 0.7678 0.0000 0.0716
Zr 0.8042 0.0000 0.6446
Si 0.0680 0.5000 0.1311
Si 0.9320 0.5000 0.8689
Au 0.1489 0.5000 0.6353
Au 0.4522 0.5000 0.1632
Au 0.5000 0.5000 0.5000
Au 0.5478 0.5000 0.8368
Au 0.8511 0.5000 0.3647

Calculated values
For the final energy, the calculation gives -6.12 eV per atom. The value obtained for the magnetization is 0.0 μB per formula unit.

=====

[4]
Entry from the Alexandria database: crystalline Tb6C2S3 at its relaxed geometry (GGA-PBE).

a = 19.5559 Å, b = 19.5559 Å, c = 19.5559 Å
α = 11.00°, β = 11.00°, γ = 11.00°
Fractional positions:
Tb 0.0889 0.0889 0.0889
Tb 0.1988 0.1988 0.1988
Tb 0.3627 0.3627 0.3627
Tb 0.6373 0.6373 0.6373
Tb 0.8012 0.8012 0.8012
Tb 0.9111 0.9111 0.9111
C 0.4468 0.4468 0.4468
C 0.5532 0.5532 0.5532
S 0.0000 0.0000 0.0000
S 0.2751 0.2751 0.2751
S 0.7249 0.7249 0.7249

Calculated values
For the final energy, the calculation gives -6.57 eV per atom. The value obtained for the magnetization is 0.0 μB per formula unit.